Entry from Alexandria: an optimized crystal structure of Ca2CrSeBr (PBE).

Cell lengths 5.5172, 5.5172, 5.5732 Å; angles 90.00, 90.00, 90.00 degrees
Closest atoms and distances in Å follow each position.
Space group P4/mmm (No. 123)
Symmetry-distinct sites (fractional):
Ca  0.0000  0.5000  0.0000 (multiplicity 2)  2 Br 2.76
Cr  0.0000  0.0000  0.5000 (multiplicity 1)  4 Se 3.90, 8 Ca 3.92
Se  0.5000  0.5000  0.5000 (multiplicity 1)  2 Br 2.79
Br  0.5000  0.5000  0.0000 (multiplicity 1)  4 Ca 2.76, 2 Se 2.79

Calculated density, g cm⁻³: 2.8
Crystal system: tetragonal
Formation energy without anion corrections, eV per atom: 0.12

***

Entry from Alexandria: an optimized crystal structure of BaTb2Sc (PBE).

Cell lengths 3.5576, 3.5576, 37.6099 Å; angles 90.00, 90.00, 120.00 degrees
Closest atoms and distances in Å follow each position.
Space group R-3m (No. 166, hexagonal axes)
Symmetry-distinct sites (fractional):
Ba  0.0000  0.0000  0.0000 (multiplicity 3)  6 Ba 3.56, 2 Tb 3.62
Tb  0.0000  0.0000  0.0963 (multiplicity 6)  3 Sc 3.35, 6 Tb 3.56, 1 Ba 3.62
Sc  0.0000  0.0000  0.5000 (multiplicity 3)  6 Tb 3.35, 6 Sc 3.56

Calculated density, g cm⁻³: 6.0
Crystal system: trigonal
DFT formation energy, meV/atom: 251
ΔE to the lowest computed polymorph, eV per atom: 0.1013

***

Entry from Alexandria: an optimized crystal structure of LaTaMo2 (PBE).

Cell lengths 3.2283, 4.9241, 9.8811 Å; angles 90.00, 90.00, 90.00 degrees
Closest atoms and distances in Å follow each position.
Space group Cmm2 (No. 35)
Symmetry-distinct sites (fractional):
La  0.0000  0.0000  0.0000 (multiplicity 2)  6 La 2.94-3.23, 2 Mo 3.14
Ta  0.0000  0.5000  0.6989 (multiplicity 2)  2 Mo 2.70, 4 Ta 2.94
Mo  0.0000  0.0000  0.4798 (multiplicity 2)  2 Mo 2.60, 2 Ta 2.70
Mo  0.0000  0.5000  0.2732 (multiplicity 2)  2 Mo 2.60

Calculated density, g cm⁻³: 10.8
Crystal system: orthorhombic
DFT formation energy, meV/atom: 340
ΔE to the lowest computed polymorph, eV per atom: 0.0510

***

Entry from Alexandria: an optimized crystal structure of FeNi2H (PBE).

Cell lengths 2.4663, 2.4663, 5.9861 Å; angles 90.00, 90.00, 90.00 degrees
Closest atoms and distances in Å follow each position.
Space group P4/mmm (No. 123)
Symmetry-distinct sites (fractional):
Fe  0.0000  0.0000  0.0000 (multiplicity 1)  4 Fe 2.47, 8 Ni 2.51
Ni  0.5000  0.5000  0.3016 (multiplicity 2)  4 H 2.11
H  0.0000  0.0000  0.5000 (multiplicity 1)  8 Ni 2.11

Calculated density, g cm⁻³: 7.9
Crystal system: tetragonal
ΔE to the lowest computed polymorph, eV per atom: 0.1754